The following is a PBE-GGA calculation of a relaxed Cr2CoNi3 crystal, from Alexandria via LeMat-Bulk.

abc: 4.274 4.284 8.654
angles: 119.64 98.92 71.91
Element x y z (fractional)
Cr: 0.248 0.091 0.092
Cr: 0.750 0.910 0.410
Cr: 0.752 0.909 0.908
Cr: 0.250 0.090 0.590
Co: 0.250 0.756 0.256
Co: 0.750 0.244 0.744
Ni: 0.750 0.579 0.579
Ni: 0.250 0.421 0.921
Ni: 0.250 0.421 0.421
Ni: 0.750 0.579 0.079
Ni: 0.749 0.249 0.248
Ni: 0.251 0.751 0.752

Properties
* space group: P-1, No. 2
* formation enthalpy at 0 K: 0.0341 eV/atom
* total magnetic moment: 0.00 μB per formula unit

The following is a PBE-GGA calculation of a relaxed CrCoNi4 crystal, from Alexandria via LeMat-Bulk.

abc: 4.098 4.895 7.181
angles: 70.07 90.00 90.01
Element x y z (fractional)
Cr: 0.250 0.801 0.898
Cr: 0.750 0.199 0.102
Co: 0.250 0.301 0.897
Co: 0.750 0.699 0.103
Ni: 0.751 0.294 0.413
Ni: 0.751 0.109 0.782
Ni: 0.251 0.208 0.587
Ni: 0.251 0.392 0.218
Ni: 0.249 0.706 0.587
Ni: 0.749 0.792 0.413
Ni: 0.249 0.891 0.218
Ni: 0.749 0.608 0.782

Properties
* space group: Cmcm, No. 63
* formation enthalpy at 0 K: 0.1384 eV/atom
* total magnetic moment: 1.23 μB per formula unit

The following is a PBE-GGA calculation of a relaxed CrCo2Ni crystal, from Alexandria via LeMat-Bulk.

abc: 2.685 4.111 4.163
angles: 90.00 90.00 90.00
Element x y z (fractional)
Co: 0.000 0.000 0.000
Co: 0.500 0.500 0.000
Cr: 0.500 0.000 0.500
Ni: 0.000 0.500 0.500

Properties
* space group: Pmmm, No. 47
* formation enthalpy at 0 K: 0.2233 eV/atom
* total magnetic moment: 5.84 μB per formula unit